(1)
Below is a relaxed structure of Mo2HPt, with properties calculated at the GGA-PBE level.

a = 4.289 Å, b = 4.289 Å, c = 4.289 Å
α = 60.00°, β = 60.00°, γ = 60.00°
Element x y z (fractional)
H: 0.000 0.000 0.000
Mo: 0.250 0.250 0.250
Mo: 0.750 0.750 0.750
Pt: 0.500 0.500 0.500

- distance to the lowest polymorph of the same formula (kJ/mol of atoms) = 63.8


(2)
Below is a relaxed structure of TlAgI2Cl, with properties calculated at the GGA-PBE level.

a = 5.774 Å, b = 5.774 Å, c = 5.120 Å
α = 90.00°, β = 90.00°, γ = 90.00°
Element x y z (fractional)
I: 0.000 0.500 0.000
I: 0.500 0.000 0.000
Tl: 0.500 0.500 0.500
Ag: 0.000 0.000 0.000
Cl: 0.000 0.000 0.500

- E_tot (Ry/atom) = -0.1783


(3)
Below is a relaxed structure of SiW3, with properties calculated at the GGA-PBE level.

a = 5.106 Å, b = 6.141 Å, c = 7.869 Å
α = 90.00°, β = 90.00°, γ = 90.00°
Element x y z (fractional)
Si: 0.599 0.895 0.750
Si: 0.099 0.605 0.250
Si: 0.901 0.395 0.750
Si: 0.401 0.105 0.250
W: 0.132 0.024 0.750
W: 0.632 0.476 0.250
W: 0.368 0.524 0.750
W: 0.868 0.976 0.250
W: 0.645 0.188 0.960
W: 0.145 0.312 0.040
W: 0.855 0.688 0.540
W: 0.355 0.812 0.460
W: 0.355 0.812 0.040
W: 0.855 0.688 0.960
W: 0.145 0.312 0.460
W: 0.645 0.188 0.540

- E_tot (Ry/atom) = -0.8087


Which mass density belongs to each record? In order, 11.55 5.85 15.60 g/cm³.
Which D(E_F) belongs to each record? In order, 3.47 1.62 8.87 states/eV/cell.